# 1
La2ZrBe: relaxed, GGA-PBE.

density = 6.37 g/cm3
space-group type = Pmmm, No. 47

Cell lengths 3.4462, 5.3370, 5.3601 Å; angles 90.00, 90.00, 90.00 degrees
Element x y z (fractional)
1 Be 0.0000 0.5000 0.5000
2 La 0.5000 0.5000 0.0000
3 La 0.0000 0.0000 0.0000
4 Zr 0.5000 0.0000 0.5000

***

# 2
LaZr2Be: relaxed, GGA-PBE.

density = 6.15 g/cm3
space-group type = I4/mmm, No. 139

Cell lengths 5.5500, 5.5500, 5.5500 Å; angles 133.21, 133.21, 68.33 degrees
Element x y z (fractional)
1 Zr 0.0000 0.0000 0.0000
2 Zr 0.5000 0.5000 0.0000
3 La 0.7500 0.2500 0.5000
4 Be 0.2500 0.7500 0.5000

***

Number 1: calculated total energy -5.09 eV per atom. Number 2: calculated total energy -6.11 eV per atom.